Record 1
This record from Alexandria via LeMat-Bulk describes crystalline SrAlAsBr2 at its relaxed geometry. The functional is PBEsol.

Cell and atoms, written as extended XYZ:
```
5
Lattice="5.738 0.000 0.000 0.000 5.738 0.000 0.000 0.000 6.039" Properties=species:S:1:pos:R:3 pbc="T T T"
Sr 0.000 0.000 0.000
Al 2.869 2.869 3.020
As 0.000 0.000 3.020
Br 0.000 2.869 0.000
Br 2.869 0.000 0.000
```

Computed properties:
magnetization	2.004	μB per cell
density	2.92	Mg/m³
SG	No. 123
energy relative to the elements, uncorrected	-0.197	eV/atom



Record 2
This record from Alexandria via LeMat-Bulk describes crystalline YAlAs2Br at its relaxed geometry. The functional is PBEsol.

Cell and atoms, written as extended XYZ:
```
5
Lattice="4.817 0.000 0.000 0.000 4.817 0.000 0.000 0.000 4.989" Properties=species:S:1:pos:R:3 pbc="T T T"
Y 0.000 0.000 0.000
Al 2.409 2.409 2.495
As 0.000 2.409 2.495
As 2.409 0.000 2.495
Br 2.409 2.409 0.000
```

Computed properties:
magnetization	0.000	μB per cell
density	4.96	Mg/m³
SG	No. 123
energy relative to the elements, uncorrected	-0.322	eV/atom



Record 3
This record from Alexandria via LeMat-Bulk describes crystalline AlZnAsBr2 at its relaxed geometry. The functional is PBEsol.

Cell and atoms, written as extended XYZ:
```
5
Lattice="5.021 0.000 0.000 0.000 5.021 0.000 0.000 0.000 4.937" Properties=species:S:1:pos:R:3 pbc="T T T"
Al 0.000 0.000 0.000
Zn 2.511 2.511 2.468
As 2.511 2.511 0.000
Br 0.000 2.511 2.468
Br 2.511 0.000 2.468
```

Computed properties:
magnetization	0.001	μB per cell
density	4.36	Mg/m³
SG	No. 123
energy relative to the elements, uncorrected	0.210	eV/atom



Record 4
This record from Alexandria via LeMat-Bulk describes crystalline CaAl2HgAs at its relaxed geometry. The functional is PBEsol.

Cell and atoms, written as extended XYZ:
```
5
Lattice="5.688 0.000 0.000 0.000 5.688 0.000 0.000 0.000 5.207" Properties=species:S:1:pos:R:3 pbc="T T T"
Ca 0.000 0.000 0.000
Al 0.000 2.844 0.000
Al 2.844 0.000 0.000
Hg 2.844 2.844 2.604
As 0.000 0.000 2.604
```

Computed properties:
magnetization	0.001	μB per cell
density	3.64	Mg/m³
SG	No. 123
VASP energy	-11.436	eV per cell



Record 5
This record from Alexandria via LeMat-Bulk describes crystalline CaAlAs2I at its relaxed geometry. The functional is PBEsol.

Cell and atoms, written as extended XYZ:
```
5
Lattice="5.452 0.000 0.000 0.000 5.452 0.000 0.000 0.000 5.206" Properties=species:S:1:pos:R:3 pbc="T T T"
Ca 0.000 0.000 0.000
Al 2.726 2.726 0.000
As 0.000 2.726 2.603
As 2.726 0.000 2.603
I 2.726 2.726 2.603
```

Computed properties:
magnetization	0.001	μB per cell
density	3.69	Mg/m³
SG	No. 123
energy relative to the elements, uncorrected	0.594	eV/atom



Record 6
This record from Alexandria via LeMat-Bulk describes crystalline Na3Ca3AlAs4 at its relaxed geometry. The functional is PBEsol.

Cell and atoms, written as extended XYZ:
```
22
Lattice="9.365 0.000 0.000 -4.683 8.110 0.000 0.000 0.000 7.125" Properties=species:S:1:pos:R:3 pbc="T T T"
Na 0.000 2.222 0.000
Na -2.758 6.999 0.000
Na 1.924 1.111 3.562
Na 2.758 6.999 0.000
Na 7.441 1.111 3.562
Na 4.683 5.888 3.562
Ca -1.994 4.256 2.331
Ca 1.994 4.256 2.331
Ca 0.000 7.710 2.331
Ca 4.683 0.401 5.894
Ca 2.689 3.855 5.894
Ca 6.677 3.855 5.894
Al 0.000 5.407 5.014
Al 4.683 2.703 1.451
As 0.000 3.081 4.253
As -2.014 6.570 4.253
As 0.000 5.407 0.396
As 2.668 1.541 0.691
As 2.014 6.570 4.253
As 4.683 2.703 3.959
As 6.697 1.541 0.691
As 4.683 5.029 0.691
```

Computed properties:
magnetization	0.000	μB per cell
density	3.17	Mg/m³
SG	No. 186
VASP energy	-89.142	eV per cell



Record 7
This record from Alexandria via LeMat-Bulk describes crystalline CaNbAl2As at its relaxed geometry. The functional is PBEsol.

Cell and atoms, written as extended XYZ:
```
5
Lattice="5.042 0.000 0.000 0.000 5.042 0.000 0.000 0.000 4.994" Properties=species:S:1:pos:R:3 pbc="T T T"
Ca 0.000 0.000 0.000
Nb 2.521 2.521 2.497
Al 0.000 2.521 0.000
Al 2.521 0.000 0.000
As 0.000 0.000 2.497
```

Computed properties:
magnetization	2.547	μB per cell
density	3.43	Mg/m³
SG	No. 123
VASP energy	-18.567	eV per cell



Record 8
This record from Alexandria via LeMat-Bulk describes crystalline CaAlAs2Se at its relaxed geometry. The functional is PBEsol.

Cell and atoms, written as extended XYZ:
```
5
Lattice="4.813 0.000 0.000 0.000 4.813 0.000 0.000 0.000 5.035" Properties=species:S:1:pos:R:3 pbc="T T T"
Ca 0.000 0.000 0.000
Al 2.406 2.406 2.517
As 0.000 2.406 2.517
As 2.406 0.000 2.517
Se 2.406 2.406 0.000
```

Computed properties:
magnetization	0.001	μB per cell
density	4.21	Mg/m³
SG	No. 123
energy relative to the elements, uncorrected	-0.281	eV/atom



Record 9
This record from Alexandria via LeMat-Bulk describes crystalline CaAlAsSe2 at its relaxed geometry. The functional is PBEsol.

Cell and atoms, written as extended XYZ:
```
5
Lattice="4.994 0.000 0.000 0.000 4.994 0.000 0.000 0.000 4.724" Properties=species:S:1:pos:R:3 pbc="T T T"
Ca 0.000 0.000 0.000
Al 2.497 2.497 2.362
As 2.497 2.497 0.000
Se 0.000 2.497 2.362
Se 2.497 0.000 2.362
```

Computed properties:
magnetization	0.000	μB per cell
density	4.23	Mg/m³
SG	No. 123
energy relative to the elements, uncorrected	-0.535	eV/atom



Record 10
This record from Alexandria via LeMat-Bulk describes crystalline AlCd2As at its relaxed geometry. The functional is PBEsol.

Cell and atoms, written as extended XYZ:
```
4
Lattice="-2.168 2.168 4.202 2.168 -2.168 4.202 2.168 2.168 -4.202" Properties=species:S:1:pos:R:3 pbc="T T T"
Al 0.000 0.000 0.000
Cd 2.168 0.000 2.101
Cd 0.000 0.000 4.202
As 0.000 2.168 2.101
```

Computed properties:
magnetization	0.000	μB per cell
density	6.87	Mg/m³
SG	No. 119
ΔE to the lowest computed polymorph	0.13	eV/f.u.



Record 11
This record from Alexandria via LeMat-Bulk describes crystalline AlCd2As at its relaxed geometry. The functional is PBEsol.

Cell and atoms, written as extended XYZ:
```
4
Lattice="2.899 0.000 0.000 0.000 5.536 0.000 -0.401 0.000 5.004" Properties=species:S:1:pos:R:3 pbc="T T T"
Al 0.000 0.000 0.000
Cd 0.657 2.768 1.241
Cd 1.842 2.768 3.763
As 1.249 0.000 2.502
```

Computed properties:
magnetization	0.000	μB per cell
density	6.75	Mg/m³
SG	No. 10
ΔE to the lowest computed polymorph	0.02	eV/f.u.



Record 12
This record from Alexandria via LeMat-Bulk describes crystalline AlCd2As at its relaxed geometry. The functional is PBEsol.

Cell and atoms, written as extended XYZ:
```
4
Lattice="-1.403 2.596 5.449 1.403 -2.596 5.449 1.403 2.596 -5.449" Properties=species:S:1:pos:R:3 pbc="T T T"
Al 0.000 0.000 0.000
Cd 1.403 0.000 2.692
Cd 0.000 2.596 2.757
As 0.000 0.000 5.449
```

Computed properties:
magnetization	0.000	μB per cell
density	6.83	Mg/m³
SG	No. 71
ΔE to the lowest computed polymorph	0.00	eV/f.u.



Record 13
This record from Alexandria via LeMat-Bulk describes crystalline La2AlCdAs at its relaxed geometry. The functional is PBEsol.

Cell and atoms, written as extended XYZ:
```
5
Lattice="5.703 0.000 0.000 0.000 5.703 0.000 0.000 0.000 4.670" Properties=species:S:1:pos:R:3 pbc="T T T"
La 0.000 2.851 0.000
La 2.851 0.000 0.000
Al 0.000 0.000 2.335
Cd 2.851 2.851 2.335
As 0.000 0.000 0.000
```

Computed properties:
magnetization	0.001	μB per cell
density	5.38	Mg/m³
SG	No. 123
VASP energy	-22.400	eV per cell



Record 14
This record from Alexandria via LeMat-Bulk describes crystalline AlAs2Cl at its relaxed geometry. The functional is PBEsol.

Cell and atoms, written as extended XYZ:
```
4
Lattice="4.927 0.000 0.000 0.000 4.927 0.000 0.000 0.000 3.012" Properties=species:S:1:pos:R:3 pbc="T T T"
Al 0.000 0.000 0.000
As 0.000 2.463 1.506
As 2.463 0.000 1.506
Cl 2.463 2.463 0.000
```

Computed properties:
magnetization	0.000	μB per cell
density	4.82	Mg/m³
SG	No. 123
ΔE to the lowest computed polymorph	1.96	eV/f.u.
energy relative to the elements, uncorrected	0.250	eV/atom



Record 15
This record from Alexandria via LeMat-Bulk describes crystalline AlAs2Cl at its relaxed geometry. The functional is PBEsol.

Cell and atoms, written as extended XYZ:
```
4
Lattice="5.480 -1.480 0.000 5.480 1.480 0.000 -1.392 0.000 5.258" Properties=species:S:1:pos:R:3 pbc="T T T"
Al 0.000 0.000 0.000
As 4.484 0.000 3.086
As 6.617 0.000 1.913
Cl 2.240 0.000 5.166
```

Computed properties:
magnetization	0.000	μB per cell
density	4.13	Mg/m³
SG	No. 8
ΔE to the lowest computed polymorph	0.00	eV/f.u.
energy relative to the elements, uncorrected	-0.240	eV/atom



Record 16
This record from Alexandria via LeMat-Bulk describes crystalline AlAs2Cl at its relaxed geometry. The functional is PBEsol.

Cell and atoms, written as extended XYZ:
```
4
Lattice="3.119 0.000 0.000 0.000 3.393 0.000 0.000 0.000 7.087" Properties=species:S:1:pos:R:3 pbc="T T T"
Al 0.000 0.000 0.000
As 1.560 1.697 1.415
As 1.560 1.697 5.672
Cl 0.000 0.000 3.544
```

Computed properties:
magnetization	0.000	μB per cell
density	4.70	Mg/m³
SG	No. 47
ΔE to the lowest computed polymorph	0.91	eV/f.u.
energy relative to the elements, uncorrected	-0.014	eV/atom



Record 17
This record from Alexandria via LeMat-Bulk describes crystalline AlAs2SeCl at its relaxed geometry. The functional is PBEsol.

Cell and atoms, written as extended XYZ:
```
5
Lattice="4.864 0.000 0.000 0.000 4.864 0.000 0.000 0.000 4.704" Properties=species:S:1:pos:R:3 pbc="T T T"
Al 0.000 0.000 0.000
As 0.000 2.432 0.000
As 2.432 0.000 0.000
Se 0.000 0.000 2.352
Cl 2.432 2.432 2.352
```

Computed properties:
magnetization	0.000	μB per cell
density	4.35	Mg/m³
SG	No. 123
energy relative to the elements, uncorrected	0.395	eV/atom



Record 18
This record from Alexandria via LeMat-Bulk describes crystalline AlAsSe2Cl at its relaxed geometry. The functional is PBEsol.

Cell and atoms, written as extended XYZ:
```
5
Lattice="4.711 0.000 0.000 0.000 4.711 0.000 0.000 0.000 5.053" Properties=species:S:1:pos:R:3 pbc="T T T"
Al 0.000 0.000 0.000
As 0.000 0.000 2.526
Se 0.000 2.356 0.000
Se 2.356 0.000 0.000
Cl 2.356 2.356 2.526
```

Computed properties:
magnetization	0.001	μB per cell
density	4.37	Mg/m³
SG	No. 123
energy relative to the elements, uncorrected	0.271	eV/atom



Record 19
This record from Alexandria via LeMat-Bulk describes crystalline AlCoAs2 at its relaxed geometry. The functional is PBEsol.

Cell and atoms, written as extended XYZ:
```
4
Lattice="-1.681 2.180 4.102 1.681 -2.180 4.102 1.681 2.180 -4.102" Properties=species:S:1:pos:R:3 pbc="T T T"
Al 0.000 0.000 0.000
Co 0.000 2.180 2.041
As 1.681 0.000 2.164
As 0.000 0.000 4.483
```

Computed properties:
magnetization	0.000	μB per cell
density	6.51	Mg/m³
SG	No. 44
VASP energy	-21.387	eV per cell



Record 20
This record from Alexandria via LeMat-Bulk describes crystalline Al2Co2As at its relaxed geometry. The functional is PBEsol.

Cell and atoms, written as extended XYZ:
```
10
Lattice="6.776 0.000 0.000 0.000 6.776 0.000 0.000 0.000 2.795" Properties=species:S:1:pos:R:3 pbc="T T T"
Al 0.967 2.422 0.000
Al 2.422 5.810 0.000
Al 4.355 0.967 0.000
Al 5.810 4.355 0.000
Co 1.037 4.426 1.398
Co 2.351 1.037 1.398
Co 4.426 5.739 1.398
Co 5.739 2.351 1.398
As 0.000 0.000 1.398
As 3.388 3.388 1.398
```

Computed properties:
magnetization	0.001	μB per cell
density	6.38	Mg/m³
SG	No. 127
VASP energy	-59.873	eV per cell



Record 21
This record from Alexandria via LeMat-Bulk describes crystalline Al2CoAs at its relaxed geometry. The functional is PBEsol.

Cell and atoms, written as extended XYZ:
```
4
Lattice="-1.344 2.041 5.485 1.344 -2.041 5.485 1.344 2.041 -5.485" Properties=species:S:1:pos:R:3 pbc="T T T"
Al 0.000 0.000 0.000
Al 0.000 2.041 2.043
Co 0.000 0.000 5.492
As 1.344 0.000 3.463
```

Computed properties:
magnetization	0.000	μB per cell
density	5.18	Mg/m³
SG	No. 44
VASP energy	-21.992	eV per cell



Record 22
This record from Alexandria via LeMat-Bulk describes crystalline Al2CoAs at its relaxed geometry. The functional is PBEsol.

Cell and atoms, written as extended XYZ:
```
4
Lattice="4.246 -1.378 0.000 4.246 1.378 0.000 -2.269 0.000 5.342" Properties=species:S:1:pos:R:3 pbc="T T T"
Al 0.000 0.000 0.000
Al -0.004 0.000 3.503
Co 6.162 0.000 0.122
As 2.144 0.000 2.026
```

Computed properties:
magnetization	0.000	μB per cell
density	4.99	Mg/m³
SG	No. 8
VASP energy	-21.850	eV per cell



Record 23
This record from Alexandria via LeMat-Bulk describes crystalline Al2CoAs at its relaxed geometry. The functional is PBEsol.

Cell and atoms, written as extended XYZ:
```
4
Lattice="2.770 0.000 0.000 0.000 2.770 0.000 0.000 0.000 7.494" Properties=species:S:1:pos:R:3 pbc="T T T"
Al 0.000 0.000 1.469
Al 0.000 0.000 6.025
Co 1.385 1.385 0.000
As 1.385 1.385 3.747
```

Computed properties:
magnetization	0.000	μB per cell
density	5.42	Mg/m³
SG	No. 123
VASP energy	-21.899	eV per cell



Record 24
This record from Alexandria via LeMat-Bulk describes crystalline AlCrAs2 at its relaxed geometry. The functional is PBEsol.

Cell and atoms, written as extended XYZ:
```
8
Lattice="-2.849 2.849 5.497 2.849 -2.849 5.497 2.849 2.849 -5.497" Properties=species:S:1:pos:R:3 pbc="T T T"
Al 0.000 0.000 0.000
Al 0.000 2.849 2.749
Cr 2.849 0.000 2.749
Cr 0.000 0.000 5.497
As 1.424 -1.378 4.123
As 1.471 1.424 1.374
As 1.424 4.226 -1.374
As 1.378 1.424 6.872
```

Computed properties:
magnetization	6.001	μB per cell
density	4.26	Mg/m³
SG	No. 122
VASP energy	-48.609	eV per cell



Record 25
This record from Alexandria via LeMat-Bulk describes crystalline Al2CrAs at its relaxed geometry. The functional is PBEsol.

Cell and atoms, written as extended XYZ:
```
4
Lattice="3.145 0.000 0.000 0.000 3.145 0.000 0.000 0.000 5.891" Properties=species:S:1:pos:R:3 pbc="T T T"
Al 0.000 0.000 0.000
Al 1.572 1.572 1.661
Cr 1.572 1.572 4.384
As 0.000 0.000 3.320
```

Computed properties:
magnetization	0.002	μB per cell
density	5.16	Mg/m³
SG	No. 99
VASP energy	-23.355	eV per cell



Record 26
This record from Alexandria via LeMat-Bulk describes crystalline Al2CrAs at its relaxed geometry. The functional is PBEsol.

Cell and atoms, written as extended XYZ:
```
4
Lattice="4.147 0.000 0.000 0.000 4.147 0.000 0.000 0.000 3.531" Properties=species:S:1:pos:R:3 pbc="T T T"
Al 0.000 2.074 0.000
Al 2.074 0.000 0.000
Cr 0.000 0.000 1.766
As 2.074 2.074 1.766
```

Computed properties:
magnetization	2.755	μB per cell
density	4.95	Mg/m³
SG	No. 123
VASP energy	-23.137	eV per cell



Record 27
This record from Alexandria via LeMat-Bulk describes crystalline Al2CrInAs at its relaxed geometry. The functional is PBEsol.

Cell and atoms, written as extended XYZ:
```
5
Lattice="4.699 0.000 0.000 0.000 4.699 0.000 0.000 0.000 5.046" Properties=species:S:1:pos:R:3 pbc="T T T"
Al 0.000 2.350 0.000
Al 2.350 0.000 0.000
Cr 0.000 0.000 0.000
In 0.000 0.000 2.523
As 2.350 2.350 2.523
```

Computed properties:
magnetization	3.102	μB per cell
density	4.41	Mg/m³
SG	No. 123
VASP energy	-22.473	eV per cell



Record 28
This record from Alexandria via LeMat-Bulk describes crystalline AlCrAsSe2 at its relaxed geometry. The functional is PBEsol.

Cell and atoms, written as extended XYZ:
```
5
Lattice="4.834 0.000 0.000 0.000 4.834 0.000 0.000 0.000 4.738" Properties=species:S:1:pos:R:3 pbc="T T T"
Al 0.000 0.000 0.000
Cr 2.417 2.417 2.369
As 0.000 0.000 2.369
Se 0.000 2.417 0.000
Se 2.417 0.000 0.000
```

Computed properties:
magnetization	3.673	μB per cell
density	4.68	Mg/m³
SG	No. 123
energy relative to the elements, uncorrected	0.518	eV/atom